Entry 1:
Li2AlHgP | PBE | optimized geometry

The formation enthalpy at 0 K comes out at 0.597 eV/atom. The calculation puts the density of states at the Fermi level at 1.43 states/eV/cell. The density is 3.785 g cm⁻³.

It has space group P4/mmm (No. 123), with a = 4.9793 Å, b = 4.9793 Å, c = 4.8205 Å, α = 90.00°, β = 90.00° and γ = 90.00°. The asymmetric unit holds Li at (0.0000, 0.5000, 0.0000), Al at (0.0000, 0.0000, 0.0000), Hg at (0.0000, 0.0000, 0.5000) and P at (0.5000, 0.5000, 0.5000).



Entry 2:
Ag2AsSe | PBE | optimized geometry

The total energy comes out at -0.236 Ry/atom. The calculation puts the density of states at the Fermi level at 2.01 states/eV/cell. The density is 7.575 g cm⁻³.

It has space group P4mm (No. 99), with a = 3.4245 Å, b = 3.4245 Å, c = 6.9097 Å, α = 90.00°, β = 90.00° and γ = 90.00°. The asymmetric unit holds Ag at (0.0000, 0.0000, 0.0000), Ag at (0.5000, 0.5000, 0.2512), As at (0.0000, 0.0000, 0.4365) and Se at (0.5000, 0.5000, 0.7959).



Entry 3:
As2PPt | PBE | optimized geometry

The formation enthalpy at 0 K comes out at 0.321 eV/atom. The calculation puts the density of states at the Fermi level at 2.13 states/eV/cell. The density is 9.345 g cm⁻³.

It has space group Pmmm (No. 47), with a = 2.9274 Å, b = 4.7740 Å, c = 4.7795 Å, α = 90.00°, β = 90.00° and γ = 90.00°. The asymmetric unit holds As at (0.0000, 0.0000, 0.0000), As at (0.5000, 0.0000, 0.5000), P at (0.0000, 0.5000, 0.5000) and Pt at (0.5000, 0.5000, 0.0000).



Entry 4:
Eu2BiI | PBE | optimized geometry

The total energy comes out at -0.553 Ry/atom. The calculation puts the density of states at the Fermi level at 77.24 states/eV/cell. The density is 7.806 g cm⁻³.

It has space group Fm-3m (No. 225), with a = 8.1653 Å, b = 8.1653 Å, c = 8.1653 Å, α = 90.00°, β = 90.00° and γ = 90.00°. The asymmetric unit holds Eu at (0.2500, 0.2500, 0.2500), Bi at (0.0000, 0.0000, 0.0000) and I at (0.0000, 0.0000, 0.5000).